Compound: Ta3TlRh
Source: Alexandria via LeMat-Bulk
Functional: PBE-GGA
Structure: optimized geometry

Computed properties:
Energy relative to the elements: 98.97 kJ per mole of atoms
Density of states at the Fermi level: 7.47 states/eV/f.u.

Cell: 4.8387 4.8387 4.8387 Å, 90.00 90.00 90.00°
Space group Pm-3m (No. 221)
Inequivalent atoms, fractional coordinates:
1 Ta 0.0000 0.0000 0.5000 [3 per cell]
2 Tl 0.5000 0.5000 0.5000 [1 per cell]
3 Rh 0.0000 0.0000 0.0000 [1 per cell]

Compound: TaTlRh4
Source: Alexandria via LeMat-Bulk
Functional: PBE-GGA
Structure: optimized geometry

Computed properties:
Energy relative to the elements: 1.16 kJ per mole of atoms
Density of states at the Fermi level: 3.05 states/eV/f.u.

Cell: 7.3261 7.3261 7.3261 Å, 90.00 90.00 90.00°
Space group F-43m (No. 216)
Inequivalent atoms, fractional coordinates:
1 Ta 0.0000 0.0000 0.0000 [4 per cell]
2 Tl 0.2500 0.2500 0.7500 [4 per cell]
3 Rh 0.1248 0.1248 0.3752 [16 per cell]

Compound: Ta2TlZnRh
Source: Alexandria via LeMat-Bulk
Functional: PBE-GGA
Structure: optimized geometry

Computed properties:
Energy relative to the elements: 106.23 kJ per mole of atoms
Density of states at the Fermi level: 5.05 states/eV/f.u.

Cell: 4.7282 4.7282 4.5455 Å, 90.00 90.00 90.00°
Space group P4/mmm (No. 123)
Inequivalent atoms, fractional coordinates:
1 Ta 0.0000 0.5000 0.0000 [2 per cell]
2 Tl 0.0000 0.0000 0.5000 [1 per cell]
3 Zn 0.5000 0.5000 0.0000 [1 per cell]
4 Rh 0.5000 0.5000 0.5000 [1 per cell]

Values for final energy, eV/atom, ordered as above
-8.03; -7.26; -5.84